[1]
VASP calculation (GGA-PBE) on a geometry-optimized AlVReOs structure.

As for the density of states at the Fermi level: 2.0 states/eV per cell. As for the total energy: -9.481 eV per atom. For the total magnetization, the calculation gives 0.0 μB per formula unit. Its space group is No. 216.

Cell: 4.290 4.290 4.290 Å, 60.00 60.00 60.00°
Fractional positions:
Al 0.000 0.000 0.000
V 0.500 0.500 0.500
Re 0.750 0.750 0.750
Os 0.250 0.250 0.250

***

[2]
VASP calculation (GGA-PBE) on a geometry-optimized MoRu5 structure.

As for the density of states at the Fermi level: 7.8 states/eV per cell. As for the total energy: -9.472 eV per atom. For the total magnetization, the calculation gives 0.0 μB per formula unit. Its space group is No. 65.

Cell: 6.097 6.097 3.850 Å, 90.00 90.00 143.31°
Fractional positions:
Mo 0.000 0.000 0.000
Ru 0.168 0.832 0.500
Ru 0.331 0.669 0.000
Ru 0.500 0.500 0.500
Ru 0.669 0.331 0.000
Ru 0.832 0.168 0.500

***

[3]
VASP calculation (GGA-PBE) on a geometry-optimized Pm4TlInAg2 structure.

As for the density of states at the Fermi level: 8.1 states/eV per cell. As for the total energy: -4.077 eV per atom. For the total magnetization, the calculation gives 0.7 μB per formula unit. Its space group is No. 166.

Cell: 9.345 9.345 9.345 Å, 33.51 33.51 33.51°
Fractional positions:
Pm 0.125 0.125 0.125
Pm 0.375 0.375 0.375
Pm 0.625 0.625 0.625
Pm 0.875 0.875 0.875
Tl 0.000 0.000 0.000
In 0.500 0.500 0.500
Ag 0.248 0.248 0.248
Ag 0.752 0.752 0.752

***

[4]
VASP calculation (GGA-PBE) on a geometry-optimized ScPOs structure.

As for the density of states at the Fermi level: 2.8 states/eV per cell. As for the total energy: -7.324 eV per atom. For the total magnetization, the calculation gives 0.0 μB per formula unit. Its space group is No. 216.

Cell: 4.268 4.268 4.268 Å, 60.00 60.00 60.00°
Fractional positions:
Sc 0.000 0.000 0.000
P 0.750 0.750 0.750
Os 0.250 0.250 0.250

***

[5]
VASP calculation (GGA-PBE) on a geometry-optimized Nd6Ge3TeP2 structure.

The value obtained for the uncorrected formation energy is -1.110 eV per atom. As for the density of states at the Fermi level: 7.5 states/eV per cell. As for the total energy: -5.812 eV per atom. For the total magnetization, the calculation gives 0.0 μB per formula unit. Its space group is No. 12.

Cell: 9.634 9.634 8.774 Å, 104.24 104.24 25.15°
Fractional positions:
Nd 0.004 0.004 0.266
Nd 0.328 0.328 0.902
Nd 0.331 0.331 0.426
Nd 0.669 0.669 0.574
Nd 0.672 0.672 0.098
Nd 0.996 0.996 0.734
Ge 0.164 0.164 0.832
Ge 0.500 0.500 0.500
Ge 0.836 0.836 0.168
Te 0.500 0.500 0.000
P 0.168 0.168 0.334
P 0.832 0.832 0.666

***

[6]
VASP calculation (GGA-PBE) on a geometry-optimized PuAs3Rh5 structure.

As for the density of states at the Fermi level: 34.0 states/eV per cell. As for the total energy: -7.724 eV per atom. For the total magnetization, the calculation gives 5.3 μB per formula unit. Its space group is No. 63.

Cell: 6.645 6.645 12.356 Å, 90.00 90.00 145.03°
Fractional positions:
Pu 0.151 0.849 0.750
Pu 0.849 0.151 0.250
As 0.112 0.888 0.250
As 0.386 0.614 0.053
As 0.386 0.614 0.447
As 0.614 0.386 0.553
As 0.614 0.386 0.947
As 0.888 0.112 0.750
Rh 0.000 0.000 0.000
Rh 0.000 0.000 0.500
Rh 0.204 0.796 0.073
Rh 0.204 0.796 0.427
Rh 0.438 0.562 0.639
Rh 0.438 0.562 0.861
Rh 0.562 0.438 0.139
Rh 0.562 0.438 0.361
Rh 0.796 0.204 0.573
Rh 0.796 0.204 0.927